# 1
Entry from Alexandria via LeMat-Bulk: a relaxed structure of Er2CrS4 (PBE).

Properties
The calculation puts the theoretical density at 5890 kg/m³. The raw formation energy comes out at -1.60 eV per atom. Its total energy is -371.56 eV for the cell shown. The value obtained for the spin magnetization is 3.9 μB/f.u.

Unit cell a=12.4706 b=7.4371 c=12.5187 alpha=90.00 beta=90.00 gamma=90.00
Closest atoms and distances in Å follow each position.
Space group Pca2_1 (No. 29)
Asymmetric unit:
Er  0.1065  0.1143  0.0000 (multiplicity 4)  6 S 2.64-2.72
Er  0.1286  0.6158  0.6390 (multiplicity 4)  6 S 2.63-2.74
Er  0.1331  0.3715  0.3055 (multiplicity 4)  7 S 2.71-2.96
Er  0.1343  0.8709  0.3042 (multiplicity 4)  7 S 2.69-2.96
Cr  0.1094  0.6188  0.0066 (multiplicity 4)  5 S 2.43-2.67
Cr  0.1281  0.1213  0.6368 (multiplicity 4)  6 S 2.42-2.71
S  0.0083  0.1177  0.1926 (multiplicity 4)  1 Cr 2.56, 4 Er 2.70-2.82
S  0.0232  0.6281  0.1806 (multiplicity 4)  2 Cr 2.43-2.71, 1 Er 2.67
S  0.0300  0.6174  0.4435 (multiplicity 4)  1 Cr 2.59, 4 Er 2.72-2.88
S  0.0492  0.1265  0.4539 (multiplicity 4)  1 Cr 2.49, 1 Er 2.70
S  0.2097  0.1212  0.8125 (multiplicity 4)  1 Cr 2.42, 3 Er 2.68-2.71
S  0.2108  0.6201  0.8365 (multiplicity 4)  1 Cr 2.48, 3 Er 2.68-2.72
S  0.2292  0.8646  0.0873 (multiplicity 4)  2 Cr 2.57-2.68, 2 Er 2.64
S  0.2328  0.3613  0.0910 (multiplicity 4)  2 Cr 2.55-2.67, 2 Er 2.63-2.67

***

# 2
Entry from Alexandria via LeMat-Bulk: a relaxed structure of Er2CrS (PBE).

Properties
The calculation puts the theoretical density at 6929 kg/m³. The raw formation energy comes out at -0.26 eV per atom. Its total energy is -71.69 eV for the cell shown. The value obtained for the spin magnetization is 3.9 μB/f.u.

Unit cell a=3.5441 b=3.5441 c=27.6659 alpha=90.00 beta=90.00 gamma=120.00
Closest atoms and distances in Å follow each position.
Space group R-3m (No. 166, hexagonal axes)
Asymmetric unit:
Er  0.0000  0.0000  0.1056 (multiplicity 6)  3 S 2.65, 1 Cr 2.92
Cr  0.0000  0.0000  0.0000 (multiplicity 3)  2 Er 2.92
S  0.0000  0.0000  0.5000 (multiplicity 3)  6 Er 2.65

***

# 3
Entry from Alexandria via LeMat-Bulk: a relaxed structure of ErCr2S4 (PBE).

Properties
The calculation puts the theoretical density at 5018 kg/m³. The raw formation energy comes out at -1.03 eV per atom. Its total energy is -190.24 eV for the cell shown. The value obtained for the spin magnetization is 7.0 μB/f.u.

Unit cell a=8.1809 b=8.1809 c=7.9022 alpha=90.00 beta=90.00 gamma=90.00
Closest atoms and distances in Å follow each position.
Space group I4_1/amd (No. 141, origin choice 2)
Asymmetric unit:
Er  0.0000  0.2500  0.3750 (multiplicity 4)  4 S 2.66
Cr  0.0000  0.0000  0.0000 (multiplicity 8)  6 S 2.40-2.56
S  0.0000  0.0667  0.7039 (multiplicity 16)  3 Cr 2.40-2.56, 1 Er 2.66

***

# 4
Entry from Alexandria via LeMat-Bulk: a relaxed structure of ErCrS4 (PBE).

Properties
The calculation puts the theoretical density at 5165 kg/m³. The raw formation energy comes out at -0.81 eV per atom. Its total energy is -142.16 eV for the cell shown. The value obtained for the spin magnetization is 0.9 μB/f.u.

Unit cell a=8.0792 b=11.3647 c=5.8754 alpha=90.00 beta=124.06 gamma=90.00
Closest atoms and distances in Å follow each position.
Space group C2/c (No. 15)
Asymmetric unit:
Er  0.0000  0.1310  0.2500 (multiplicity 4)  8 S 2.74-2.83
Cr  0.0000  0.4944  0.7500 (multiplicity 4)  8 S 2.44-2.53
S  0.1053  0.3392  0.5674 (multiplicity 8)  2 Cr 2.45
S  0.2193  0.0619  0.7923 (multiplicity 8)  2 Cr 2.44-2.53

***

# 5
Entry from Alexandria via LeMat-Bulk: a relaxed structure of ErTl3Cr2S6 (PBE).

Properties
The calculation puts the theoretical density at 6658 kg/m³. The raw formation energy comes out at -0.84 eV per atom. Its total energy is -131.46 eV for the cell shown. The value obtained for the spin magnetization is 6.0 μB/f.u.

Unit cell a=6.4617 b=11.1526 c=7.7593 alpha=90.00 beta=106.16 gamma=90.00
Closest atoms and distances in Å follow each position.
Space group C2/m (No. 12)
Asymmetric unit:
Er  0.0000  0.0000  0.0000 (multiplicity 2)  6 S 2.69-2.71
Tl  0.0000  0.1585  0.5000 (multiplicity 4)  6 S 3.12-3.27
Tl  0.0000  0.5000  0.5000 (multiplicity 2)  6 S 3.11-3.25
Cr  0.0000  0.3335  0.0000 (multiplicity 4)  6 S 2.45-2.48
S  0.1970  0.5000  0.1769 (multiplicity 4)  2 Cr 2.45, 1 Er 2.69
S  0.2428  0.1809  0.1841 (multiplicity 8)  2 Cr 2.48, 1 Er 2.71

***

# 6
Entry from Alexandria via LeMat-Bulk: a relaxed structure of Er3Tl4CrS8 (PBE).

Properties
The calculation puts the theoretical density at 6828 kg/m³. The raw formation energy comes out at -1.22 eV per atom. Its total energy is -255.72 eV for the cell shown. The value obtained for the spin magnetization is 3.0 μB/f.u.

Unit cell a=7.8005 b=7.8005 c=22.5378 alpha=90.00 beta=90.00 gamma=120.00
Closest atoms and distances in Å follow each position.
Space group R-3m (No. 166, hexagonal axes)
Asymmetric unit:
Er  0.0000  0.5000  0.0000 (multiplicity 9)  6 S 2.70-2.72
Tl  0.0000  0.0000  0.5000 (multiplicity 3)  6 S 3.36
Tl  0.0000  0.5000  0.5000 (multiplicity 9)  6 S 3.19-3.20
Cr  0.0000  0.0000  0.0000 (multiplicity 3)  6 S 2.53
S  0.0000  0.0000  0.2670 (multiplicity 6)  3 Er 2.70
S  0.0221  0.5110  0.7293 (multiplicity 18)  1 Cr 2.53, 2 Er 2.72